# Li6SnPd3, optimized geometry, DFT GGA-PBE
# energy of formation: -357 meV per atom
data_Li6SnPd3
_cell_length_a 9.335
_cell_length_b 14.349
_cell_length_c 5.000
_cell_angle_alpha 90.00
_cell_angle_beta 90.00
_cell_angle_gamma 90.00
_symmetry_space_group_name_H-M 'C m c 21'
_symmetry_Int_Tables_number 36
loop_
_symmetry_equiv_pos_as_xyz
'x,y,z'
'-x,-y,z+1/2'
'-x,y,z'
'x,-y,z+1/2'
'x+1/2,y+1/2,z'
'-x+1/2,-y+1/2,z+1/2'
'-x+1/2,y+1/2,z'
'x+1/2,-y+1/2,z+1/2'
loop_
_atom_site_label
_atom_site_fract_x
_atom_site_fract_y
_atom_site_fract_z
Li1 0.000 0.055 0.000
Li2 0.000 0.294 0.017
Li3 0.149 0.465 0.189
Li4 0.247 0.200 0.820
Sn1 0.000 0.178 0.508
Pd1 0.000 0.366 0.545
Pd2 0.240 0.122 0.288

***

# RbLi4Ca, optimized geometry, DFT GGA-PBE
# energy of formation: 134 meV per atom
data_RbLi4Ca
_cell_length_a 9.227
_cell_length_b 9.227
_cell_length_c 9.227
_cell_angle_alpha 90.00
_cell_angle_beta 90.00
_cell_angle_gamma 90.00
_symmetry_space_group_name_H-M 'F -4 3 m'
_symmetry_Int_Tables_number 216
_symmetry_space_group_name_Hall 'F -4 2 3'
loop_
_atom_site_label
_atom_site_fract_x
_atom_site_fract_y
_atom_site_fract_z
Rb1 0.000 0.000 0.000
Li1 0.122 0.122 0.378
Ca1 0.250 0.250 0.750

***

# KSr2CdPd, optimized geometry, DFT GGA-PBE
# energy of formation: -249 meV per atom
data_KSr2CdPd
_cell_length_a 5.975
_cell_length_b 5.975
_cell_length_c 5.501
_cell_angle_alpha 90.00
_cell_angle_beta 90.00
_cell_angle_gamma 90.00
_symmetry_space_group_name_H-M 'P 4/m m m'
_symmetry_Int_Tables_number 123
_symmetry_space_group_name_Hall '-P 4 2'
loop_
_atom_site_label
_atom_site_fract_x
_atom_site_fract_y
_atom_site_fract_z
K1 0.000 0.000 0.000
Sr1 0.000 0.500 0.500
Cd1 0.500 0.500 0.000
Pd1 0.500 0.500 0.500

***

# La2Zn4RhAu3, optimized geometry, DFT GGA-PBE
# energy of formation: -540 meV per atom
data_La2Zn4RhAu3
_cell_length_a 4.291
_cell_length_b 4.291
_cell_length_c 11.139
_cell_angle_alpha 90.00
_cell_angle_beta 90.00
_cell_angle_gamma 90.00
_symmetry_space_group_name_H-M 'P -4 m 2'
_symmetry_Int_Tables_number 115
loop_
_symmetry_equiv_pos_as_xyz
'x,y,z'
'y,-x,-z'
'-x,-y,z'
'-y,x,-z'
'-x,y,z'
'-y,-x,-z'
'x,-y,z'
'y,x,-z'
loop_
_atom_site_label
_atom_site_fract_x
_atom_site_fract_y
_atom_site_fract_z
La1 0.000 0.500 0.240
Zn1 0.000 0.000 0.500
Zn2 0.000 0.500 0.873
Zn3 0.500 0.500 0.500
Rh1 0.500 0.500 0.000
Au1 0.000 0.000 0.000
Au2 0.000 0.500 0.641

***

# AgSe2NO, optimized geometry, DFT GGA-PBE
# uncorrected formation energy: 1.7463 eV per atom
data_AgSe2NO
_cell_length_a 5.179
_cell_length_b 5.179
_cell_length_c 4.042
_cell_angle_alpha 90.00
_cell_angle_beta 90.00
_cell_angle_gamma 90.00
_symmetry_space_group_name_H-M 'P 4/m m m'
_symmetry_Int_Tables_number 123
_symmetry_space_group_name_Hall '-P 4 2'
loop_
_atom_site_label
_atom_site_fract_x
_atom_site_fract_y
_atom_site_fract_z
Ag1 0.000 0.000 0.000
Se1 0.000 0.500 0.000
N1 0.000 0.000 0.500
O1 0.500 0.500 0.500

***

# YCrTc2, optimized geometry, DFT GGA-PBE
# energy of formation: 298 meV per atom
data_YCrTc2
_cell_length_a 9.752
_cell_length_b 3.141
_cell_length_c 4.919
_cell_angle_alpha 90.00
_cell_angle_beta 110.47
_cell_angle_gamma 90.00
_symmetry_space_group_name_H-M 'C 1 m 1'
_symmetry_Int_Tables_number 8
loop_
_symmetry_equiv_pos_as_xyz
'x,y,z'
'x,-y,z'
'x+1/2,y+1/2,z'
'x+1/2,-y+1/2,z'
loop_
_atom_site_label
_atom_site_fract_x
_atom_site_fract_y
_atom_site_fract_z
Y1 0.000 0.000 0.000
Cr1 0.279 0.500 0.347
Tc1 0.223 0.000 0.681
Tc2 0.493 0.000 0.492

***

# SrPbSCl2, optimized geometry, DFT GGA-PBE
# uncorrected formation energy: -1.0963 eV per atom
data_SrPbSCl2
_cell_length_a 5.441
_cell_length_b 5.441
_cell_length_c 5.691
_cell_angle_alpha 90.00
_cell_angle_beta 90.00
_cell_angle_gamma 90.00
_symmetry_space_group_name_H-M 'P 4/m m m'
_symmetry_Int_Tables_number 123
_symmetry_space_group_name_Hall '-P 4 2'
loop_
_atom_site_label
_atom_site_fract_x
_atom_site_fract_y
_atom_site_fract_z
Sr1 0.000 0.000 0.000
Pb1 0.500 0.500 0.500
S1 0.500 0.500 0.000
Cl1 0.000 0.500 0.500

***

# KCaY2Co, optimized geometry, DFT GGA-PBE
# energy of formation: 1266 meV per atom
data_KCaY2Co
_cell_length_a 5.679
_cell_length_b 5.679
_cell_length_c 4.686
_cell_angle_alpha 90.00
_cell_angle_beta 90.00
_cell_angle_gamma 90.00
_symmetry_space_group_name_H-M 'P 4/m m m'
_symmetry_Int_Tables_number 123
_symmetry_space_group_name_Hall '-P 4 2'
loop_
_atom_site_label
_atom_site_fract_x
_atom_site_fract_y
_atom_site_fract_z
K1 0.000 0.000 0.000
Ca1 0.500 0.500 0.500
Y1 0.000 0.500 0.000
Co1 0.000 0.000 0.500